## KCr2Pb (PBE)

Data for a relaxed structure of KCr2Pb.

Properties
DFT formation energy = 2.48 eV/f.u.
Space group = Cm (8)
Total energy = -5.39 eV per atom
Spin magnetization = 0.025 μB per atom

Cell: 8.3703 3.1834 8.0477 Å, 90.00 96.31 90.00°
Fractional positions:
1 K 0.0000 0.0000 0.0000
2 K 0.5000 0.5000 0.0000
3 Cr 0.2673 0.5000 0.3412
4 Cr 0.4920 0.0000 0.4169
5 Cr 0.7673 0.0000 0.3412
6 Cr 0.9920 0.5000 0.4169
7 Pb 0.2370 0.0000 0.6518
8 Pb 0.7370 0.5000 0.6518